Version P
PBE-GGA Na2TiPt2, relaxed; volume = 208 Å³/cell; magnetic moment = 0.0266 μB per atom
1.0
-2.0483 -3.3084 5.2162
6.1754 -0.9756 1.8061
-0.1029 4.1679 2.6031
Na Pt Ti
4 4 2
direct
0.3325 0.1675 0.5000
0.1675 0.6675 0.5000
0.8325 0.3325 0.5000
0.6675 0.8325 0.5000
0.6401 0.1401 0.0000
0.8599 0.6401 0.0000
0.3599 0.8599 0.0000
0.1401 0.3599 0.0000
0.0000 0.0000 0.0000
0.5000 0.5000 0.0000

Version Q
PBE-GGA Na2TiPt2, relaxed; volume = 174 Å³/cell; magnetic moment = 0.0000 μB per atom
1.0
-1.3611 1.0015 7.7006
-7.7482 0.3454 -1.4145
-0.1839 -2.7788 0.3289
Na Pt Ti
4 4 2
direct
0.8939 0.6061 0.0000
0.3939 0.8939 0.0000
0.1061 0.3939 0.0000
0.6061 0.1061 0.0000
0.3050 0.1950 0.5000
0.1950 0.6950 0.5000
0.8050 0.3050 0.5000
0.6950 0.8050 0.5000
0.0000 0.0000 0.0000
0.5000 0.5000 0.0000

Most favorable first, least favorable last: version P, version Q

Version P
PBE-GGA NaTi2Pt, relaxed; volume = 148 Å³/cell; magnetic moment = 0.0001 μB per atom
1.0
-3.5592 1.4595 0.9854
-1.7052 -2.3015 -2.7504
-3.6718 -7.2480 5.4746
Ti Na Pt
4 2 2
direct
0.8750 0.8977 0.7500
0.1023 0.6250 0.2500
0.6477 0.1250 0.2500
0.3750 0.3523 0.7500
0.5000 0.5000 0.0000
0.2500 0.7500 0.5000
0.7500 0.2500 0.5000
0.0000 0.0000 0.0000

Version Q
PBE-GGA NaTi2Pt, relaxed; volume = 67 Å³/cell; magnetic moment = 0.2540 μB per atom
1.0
0.0000 3.2280 3.2280
3.2280 0.0000 3.2280
3.2280 3.2280 0.0000
Ti Na Pt
2 1 1
direct
0.2500 0.2500 0.2500
0.7500 0.7500 0.7500
0.0000 0.0000 0.0000
0.5000 0.5000 0.5000

Most favorable first, least favorable last: version Q, version P

Version P
PBE-GGA Na2TlPt2, relaxed; volume = 229 Å³/cell; magnetic moment = 0.0000 μB per atom
1.0
-5.5741 -0.1580 1.1146
3.4557 -4.0600 2.1997
0.8977 6.2536 5.3757
Na Pt Tl
4 4 2
direct
0.5069 0.2997 0.1482
0.7929 0.2997 0.6482
0.2071 0.7003 0.3518
0.4931 0.7003 0.8518
0.9900 0.2763 0.0089
0.7137 0.7237 0.4911
0.2863 0.2763 0.5089
0.0100 0.7237 0.9911
0.1379 0.0000 0.7500
0.8621 0.0000 0.2500

Version Q
PBE-GGA Na2TlPt2, relaxed; volume = 106 Å³/cell; magnetic moment = 0.0000 μB per atom
1.0
-1.7024 1.0195 3.3635
-1.9338 -3.3924 0.0494
3.4188 -4.1202 5.2465
Pt Na Tl
2 2 1
direct
0.4055 0.4055 0.1891
0.5945 0.5945 0.8109
0.7500 0.2500 0.5000
0.2500 0.7500 0.5000
0.0000 0.0000 0.0000

Version R
PBE-GGA Na2TlPt2, relaxed; volume = 208 Å³/cell; magnetic moment = 0.0000 μB per atom
1.0
-1.3434 8.4026 -1.0365
-0.8205 -1.1738 -8.4517
-2.7875 -0.4053 0.3269
Pt Tl Na
4 2 4
direct
0.3227 0.1773 0.5000
0.1773 0.6773 0.5000
0.6773 0.8227 0.5000
0.8227 0.3227 0.5000
0.5000 0.5000 0.0000
0.0000 0.0000 0.0000
0.8803 0.6197 0.0000
0.1197 0.3803 0.0000
0.6197 0.1197 0.0000
0.3803 0.8803 0.0000

Version S
PBE-GGA Na2TlPt2, relaxed; volume = 223 Å³/cell; magnetic moment = 0.0000 μB per atom
1.0
6.9369 0.0000 0.0000
0.0000 6.9369 0.0000
0.0000 0.0000 4.6414
Pt Na Tl
4 4 2
direct
0.1320 0.3680 0.0000
0.8680 0.6320 0.0000
0.3680 0.8680 0.0000
0.6320 0.1320 0.0000
0.1641 0.6641 0.5000
0.8359 0.3359 0.5000
0.3359 0.1641 0.5000
0.6641 0.8359 0.5000
0.0000 0.0000 0.0000
0.5000 0.5000 0.0000

Most favorable first, least favorable last: version P, version S, version R, version Q

Version P
PBE-GGA Na4Tl5Pt, relaxed; volume = 299 Å³/cell; magnetic moment = 0.0000 μB per atom
1.0
5.0141 0.0000 1.7368
2.5071 7.5011 0.8684
0.0520 0.0000 7.9563
Na Tl Pt
4 5 1
direct
0.8131 0.6860 0.6860
0.4991 0.3140 0.6860
0.4991 0.6860 0.3140
0.1851 0.3140 0.3140
0.1856 0.6266 0.0000
0.1856 0.0000 0.6266
0.8123 0.0000 0.3734
0.8122 0.3734 0.0000
0.4988 0.0000 0.0000
0.9988 0.0000 0.0000

Version Q
PBE-GGA Na4Tl5Pt, relaxed; volume = 296 Å³/cell; magnetic moment = 0.0000 μB per atom
1.0
6.6595 0.0000 0.0000
3.3297 6.6620 0.0000
3.3297 0.0000 6.6620
Tl Na Pt
5 4 1
direct
0.2009 0.8665 0.6739
0.0674 0.6739 0.1335
0.8748 0.3261 0.8665
0.6349 0.0000 0.0000
0.7413 0.1335 0.3261
0.7445 0.7503 0.6444
0.4948 0.6444 0.2497
0.1391 0.2497 0.3556
0.3889 0.3556 0.7503
0.2236 0.0000 0.0000

Most favorable first, least favorable last: version P, version Q

Version P
PBE-GGA Na3TlPt, relaxed; volume = 294 Å³/cell; magnetic moment = 0.0000 μB per atom
1.0
7.2658 0.1439 -0.1758
-1.8495 7.0280 0.1758
-3.1328 -3.2653 5.7476
Pt Tl Na
2 2 6
direct
0.6113 0.7746 0.3859
0.3887 0.2254 0.6141
0.2853 0.9237 0.2090
0.7147 0.0763 0.7910
0.1320 0.9659 0.7210
0.8680 0.0341 0.2790
0.2449 0.4110 0.2790
0.2974 0.5520 0.8494
0.7026 0.4480 0.1506
0.7551 0.5890 0.7210

Version Q
PBE-GGA Na3TlPt, relaxed; volume = 162 Å³/cell; magnetic moment = 0.0000 μB per atom
1.0
5.4458 0.0000 0.0000
0.0000 5.4458 0.0000
0.0000 0.0000 5.4458
Na Pt Tl
3 1 1
direct
0.0000 0.5000 0.0000
0.5000 0.0000 0.0000
0.0000 0.0000 0.5000
0.0000 0.0000 0.0000
0.5000 0.5000 0.5000

Version R
PBE-GGA Na3TlPt, relaxed; volume = 507 Å³/cell; magnetic moment = 0.0000 μB per atom
1.0
6.2122 0.0000 0.0000
0.0000 8.1248 -2.5607
0.0000 -0.0925 10.0739
Na Pt Tl
12 4 4
direct
0.5129 0.7869 0.4482
0.7660 0.6269 0.1576
0.0078 0.9992 0.3481
0.2340 0.3731 0.8424
0.5078 0.0008 0.1519
0.9922 0.0008 0.6519
0.4922 0.9992 0.8481
0.9871 0.7869 0.9482
0.7340 0.6269 0.6576
0.2660 0.3731 0.3424
0.4871 0.2131 0.5518
0.0129 0.2131 0.0518
0.0280 0.6808 0.4174
0.9720 0.3192 0.5826
0.5280 0.3192 0.0826
0.4720 0.6808 0.9174
0.7671 0.3784 0.3454
0.2329 0.6216 0.6546
0.2671 0.6216 0.1546
0.7329 0.3784 0.8454

Version S
PBE-GGA Na3TlPt, relaxed; volume = 170 Å³/cell; magnetic moment = 0.0000 μB per atom
1.0
-2.7361 4.4821 -1.7729
0.0413 -2.0167 -5.1624
-4.8198 -2.5617 0.9621
Na Pt Tl
3 1 1
direct
0.0000 0.0000 0.5000
0.5000 0.0000 0.0000
0.0000 0.5000 0.0000
0.5000 0.5000 0.5000
0.0000 0.0000 0.0000

Most favorable first, least favorable last: version R, version P, version Q, version S

Version P
PBE-GGA Na5Tl5Pt2, relaxed; volume = 354 Å³/cell; magnetic moment = 0.0000 μB per atom
1.0
-2.4170 3.0067 3.2187
4.7076 -2.8360 2.2631
8.1486 9.7949 -3.0306
Tl Na Pt
5 5 2
direct
0.1157 0.2315 0.3614
0.0000 0.0000 0.0000
0.8843 0.7685 0.6386
0.6341 0.2682 0.7814
0.3659 0.7318 0.2186
0.5000 0.0000 0.5000
0.3324 0.6648 0.8409
0.1908 0.3817 0.6009
0.6676 0.3352 0.1591
0.8092 0.6183 0.3991
0.9640 0.9279 0.2014
0.0360 0.0721 0.7986

Version Q
PBE-GGA Na5Tl5Pt2, relaxed; volume = 306 Å³/cell; magnetic moment = 0.0000 μB per atom
1.0
-3.3584 -0.5432 -3.5866
2.4727 -6.9283 -4.6729
-4.7416 -6.1866 1.9700
Tl Pt Na
5 2 5
direct
0.9327 0.7384 0.3962
0.0000 0.0000 0.0000
0.2413 0.6627 0.8546
0.7587 0.3373 0.1454
0.0673 0.2616 0.6038
0.8523 0.5362 0.7593
0.1477 0.4638 0.2407
0.3170 0.0486 0.3174
0.6830 0.9514 0.6826
0.4073 0.2814 0.9039
0.5000 0.5000 0.5000
0.5927 0.7186 0.0961

Most favorable first, least favorable last: version Q, version P

Version P
PBE-GGA Na5Tl2Pt, relaxed; volume = 442 Å³/cell; magnetic moment = 0.0000 μB per atom
1.0
-3.2054 1.0270 3.3047
-2.5186 -1.7312 -5.2714
0.1934 -15.8726 5.1205
Na Pt Tl
10 2 4
direct
0.9491 0.8982 0.8888
0.3453 0.6907 0.4563
0.0509 0.1018 0.3888
0.9491 0.8982 0.6112
0.6547 0.3093 0.9563
0.0509 0.1018 0.1112
0.5205 0.0411 0.7500
0.6547 0.3093 0.5437
0.3453 0.6907 0.0437
0.4795 0.9589 0.2500
0.2163 0.4326 0.2500
0.7837 0.5674 0.7500
0.7493 0.4985 0.1552
0.2507 0.5015 0.8448
0.7493 0.4985 0.3448
0.2507 0.5015 0.6552

Version Q
PBE-GGA Na5Tl2Pt, relaxed; volume = 423 Å³/cell; magnetic moment = 0.0000 μB per atom
1.0
4.0264 0.0000 0.0000
0.0000 7.1953 0.0000
0.0000 0.0000 14.6028
Tl Na Pt
4 10 2
direct
0.5000 0.6980 0.8945
0.5000 0.1980 0.6055
0.5000 0.8020 0.3945
0.5000 0.3020 0.1055
0.5000 0.2644 0.8894
0.0000 0.4688 0.7459
0.0000 0.9688 0.7541
0.5000 0.2356 0.3894
0.5000 0.7356 0.1106
0.0000 0.5000 0.5000
0.0000 0.0000 0.0000
0.5000 0.7644 0.6106
0.0000 0.0312 0.2459
0.0000 0.5312 0.2541
0.0000 0.5000 0.0000
0.0000 0.0000 0.5000

Most favorable first, least favorable last: version P, version Q

Version P
PBE-GGA Na2Tl3Pt, relaxed; volume = 335 Å³/cell; magnetic moment = 0.0000 μB per atom
1.0
-4.0507 -4.4706 -4.7920
5.9549 -2.5027 4.1992
-5.3031 1.8762 5.2645
Tl Na Pt
6 4 2
direct
0.2500 0.5000 0.7500
0.7500 0.5000 0.2500
0.7500 0.1597 0.9097
0.2500 0.1597 0.4097
0.7500 0.8403 0.5903
0.2500 0.8403 0.0903
0.7536 0.0067 0.2531
0.2464 0.9933 0.7469
0.7464 0.4995 0.7531
0.2536 0.5005 0.2469
0.5000 0.0000 0.5000
0.0000 0.0000 0.0000

Version Q
PBE-GGA Na2Tl3Pt, relaxed; volume = 180 Å³/cell; magnetic moment = 0.0000 μB per atom
1.0
-0.6805 -1.3065 -3.8682
2.2702 -4.7642 1.2097
-7.9478 0.1903 3.5486
Na Tl Pt
2 3 1
direct
0.7250 0.2250 0.4501
0.2750 0.7750 0.5499
0.6168 0.6168 0.2337
0.0000 0.0000 0.0000
0.3832 0.3832 0.7663
0.0000 0.5000 0.0000

Most favorable first, least favorable last: version P, version Q

Version P
PBE-GGA Na2VPt, relaxed; volume = 78 Å³/cell; magnetic moment = 0.8975 μB per atom
1.0
-1.0507 1.7125 4.3496
1.0800 4.5327 1.1151
-3.4941 3.2367 0.5205
Pt Na V
1 2 1
direct
0.5000 0.5000 0.5000
0.2500 0.2500 0.2500
0.7500 0.7500 0.7500
0.0000 0.0000 0.0000

Version Q
PBE-GGA Na2VPt, relaxed; volume = 192 Å³/cell; magnetic moment = 0.8817 μB per atom
1.0
8.7416 0.0000 0.0000
0.0000 8.7416 0.0000
4.3708 4.3708 2.5143
Na Pt V
4 2 2
direct
0.0623 0.6250 0.2500
0.6877 0.1250 0.2500
0.8750 0.9377 0.7500
0.3750 0.3123 0.7500
0.0000 0.0000 0.0000
0.7500 0.2500 0.5000
0.5000 0.5000 0.0000
0.2500 0.7500 0.5000

Most favorable first, least favorable last: version Q, version P